PBE-GGA SbO2, optimized geometry; uncorrected formation energy = -1034 meV/atom
1.0
0.000 5.292 5.292
5.292 0.000 5.292
5.292 5.292 0.000
O Sb
16 8
Direct
0.500 0.500 0.500 O
0.771 0.229 0.229 O
0.750 0.750 0.750 O
0.021 0.479 0.021 O
0.021 0.021 0.479 O
0.771 0.771 0.229 O
0.000 0.000 0.000 O
0.229 0.771 0.229 O
0.479 0.479 0.021 O
0.771 0.229 0.771 O
0.229 0.229 0.771 O
0.021 0.479 0.479 O
0.229 0.771 0.771 O
0.250 0.250 0.250 O
0.479 0.021 0.021 O
0.479 0.021 0.479 O
0.125 0.125 0.625 Sb
0.125 0.125 0.125 Sb
0.625 0.125 0.625 Sb
0.625 0.625 0.625 Sb
0.125 0.625 0.125 Sb
0.125 0.625 0.625 Sb
0.625 0.125 0.125 Sb
0.625 0.625 0.125 Sb

***

PBE-GGA SbO2, optimized geometry; uncorrected formation energy = -1059 meV/atom
1.0
-2.115 -3.476 6.275
-2.353 -7.050 0.836
3.394 -5.637 3.555
O Sb
8 4
Direct
0.889 0.889 0.439 O
0.439 0.889 0.889 O
0.851 0.851 0.851 O
0.348 0.348 0.849 O
0.412 0.412 0.412 O
0.889 0.439 0.889 O
0.348 0.849 0.348 O
0.849 0.348 0.348 O
0.630 0.630 0.108 Sb
0.630 0.108 0.630 Sb
0.108 0.630 0.630 Sb
0.229 0.229 0.229 Sb

***

PBE-GGA Sb2O3, optimized geometry; uncorrected formation energy = -1324 meV/atom
1.0
8.106 0.000 0.000
4.053 7.020 0.000
4.053 2.340 6.619
O Sb
12 8
Direct
0.185 0.185 0.815 O
0.435 0.065 0.065 O
0.065 0.435 0.065 O
0.065 0.435 0.435 O
0.435 0.435 0.065 O
0.185 0.815 0.815 O
0.435 0.065 0.435 O
0.815 0.185 0.815 O
0.815 0.815 0.185 O
0.065 0.065 0.435 O
0.815 0.185 0.185 O
0.185 0.815 0.185 O
0.338 0.887 0.887 Sb
0.887 0.887 0.338 Sb
0.912 0.363 0.363 Sb
0.363 0.912 0.363 Sb
0.887 0.338 0.887 Sb
0.887 0.887 0.887 Sb
0.363 0.363 0.363 Sb
0.363 0.363 0.912 Sb

***

PBE-GGA Sb2O3, optimized geometry; uncorrected formation energy = -1328 meV/atom
1.0
4.862 0.000 0.000
0.000 8.353 0.031
0.000 5.603 9.409
Sb O
8 12
Direct
0.635 0.104 0.802 Sb
0.332 0.414 0.395 Sb
0.832 0.586 0.105 Sb
0.135 0.896 0.698 Sb
0.865 0.104 0.302 Sb
0.168 0.414 0.895 Sb
0.668 0.586 0.605 Sb
0.365 0.896 0.198 Sb
0.903 0.344 0.108 O
0.317 0.600 0.691 O
0.683 0.400 0.309 O
0.971 0.950 0.215 O
0.183 0.600 0.191 O
0.817 0.400 0.809 O
0.471 0.050 0.285 O
0.403 0.656 0.392 O
0.029 0.050 0.785 O
0.097 0.656 0.892 O
0.529 0.950 0.715 O
0.597 0.344 0.608 O

***

PBE-GGA SbO2, optimized geometry; uncorrected formation energy = -1249 meV/atom
1.0
4.012 -0.002 0.041
-0.004 3.906 0.540
1.943 2.588 6.244
Sb O
2 4
Direct
0.840 0.030 0.320 Sb
0.125 0.889 0.751 Sb
0.114 0.367 0.771 O
0.299 0.153 0.402 O
0.956 0.610 0.087 O
0.666 0.950 0.668 O

***

PBE-GGA SbO2, optimized geometry; uncorrected formation energy = -1371 meV/atom
1.0
-5.334 -2.916 -2.521
-2.794 -5.947 0.359
-3.651 0.881 4.146
O Sb
8 4
Direct
0.489 0.322 0.461 O
0.678 0.511 0.039 O
0.168 0.211 0.760 O
0.322 0.489 0.961 O
0.832 0.789 0.240 O
0.211 0.168 0.260 O
0.789 0.832 0.740 O
0.511 0.678 0.539 O
0.000 0.500 0.000 Sb
0.500 0.000 0.500 Sb
0.288 0.712 0.250 Sb
0.712 0.288 0.750 Sb

***

PBE-GGA Sb2O3, optimized geometry; uncorrected formation energy = -1333 meV/atom
1.0
5.196 0.000 0.000
0.000 5.513 0.000
0.000 0.000 12.606
O Sb
12 8
Direct
0.650 0.354 0.058 O
0.750 0.016 0.250 O
0.250 0.984 0.750 O
0.750 0.516 0.250 O
0.350 0.646 0.942 O
0.250 0.484 0.750 O
0.850 0.854 0.058 O
0.850 0.354 0.442 O
0.150 0.646 0.558 O
0.150 0.146 0.942 O
0.650 0.854 0.442 O
0.350 0.146 0.558 O
0.947 0.677 0.373 Sb
0.553 0.677 0.127 Sb
0.053 0.823 0.873 Sb
0.053 0.323 0.627 Sb
0.553 0.177 0.373 Sb
0.447 0.323 0.873 Sb
0.947 0.177 0.127 Sb
0.447 0.823 0.627 Sb

***

PBE-GGA Sb2O7, optimized geometry; uncorrected formation energy = -483 meV/atom
1.0
7.394 0.003 0.005
-0.023 7.394 -0.005
-3.640 -3.744 5.235
O Sb
14 4
Direct
0.558 0.566 0.508 O
0.678 0.908 0.337 O
0.678 0.302 0.731 O
0.929 0.659 0.837 O
0.322 0.053 0.624 O
0.071 0.908 0.730 O
0.324 0.055 0.232 O
0.929 0.053 0.231 O
0.676 0.908 0.732 O
0.927 0.658 0.231 O
0.442 0.949 0.008 O
0.071 0.302 0.124 O
0.322 0.659 0.230 O
0.073 0.304 0.731 O
0.000 0.983 0.983 Sb
0.500 0.983 0.483 Sb
0.002 0.982 0.480 Sb
0.998 0.478 0.980 Sb

***

PBE-GGA SbO2, optimized geometry; uncorrected formation energy = -1236 meV/atom
1.0
4.451 -4.186 0.113
-3.675 -1.319 4.701
-2.501 -0.308 -5.567
O Sb
8 4
Direct
0.729 0.739 0.510 O
0.178 0.750 0.428 O
0.822 0.250 0.572 O
0.271 0.261 0.490 O
0.179 0.250 0.928 O
0.821 0.750 0.072 O
0.729 0.219 0.990 O
0.271 0.781 0.010 O
0.450 0.200 0.250 Sb
0.000 0.000 0.500 Sb
0.000 0.500 0.000 Sb
0.550 0.800 0.750 Sb